No. 1
VASP calculation (PBE-GGA) on an optimized crystal structure of ZrTe2W.

Values from the calculation:
Formation energy from raw total energies = 0.5159 eV/atom
Excess energy over the best structure of this formula in the dataset = 644 meV/atom

a b c (Å): 4.8499 4.8499 17.5273
angles (deg): 90.00 90.00 90.00
Closest atoms and distances in Å follow each position.
Space group I-42d (No. 122)
Inequivalent atoms, fractional coordinates:
Zr1 0.0000 0.0000 0.0000  4 Te 2.84
Te1 0.2237 0.2500 0.6250  2 W 2.73, 2 Zr 2.84
W1 0.0000 0.0000 0.5000  4 Te 2.73

---

No. 2
VASP calculation (PBE-GGA) on an optimized crystal structure of Zr3TiTc.

Values from the calculation:
Formation enthalpy at 0 K = 0.62 eV/atom
Excess energy over the best structure of this formula in the dataset = 0 meV/atom

a b c (Å): 4.9910 4.9910 4.9910
angles (deg): 90.00 90.00 90.00
Closest atoms and distances in Å follow each position.
Space group Pm-3m (No. 221)
Inequivalent atoms, fractional coordinates:
Zr1 0.0000 0.0000 0.5000  2 Tc 2.50
Ti1 0.5000 0.5000 0.5000  12 Zr 3.53
Tc1 0.0000 0.0000 0.0000  6 Zr 2.50

---

No. 3
VASP calculation (PBE-GGA) on an optimized crystal structure of AlV8C2.

Values from the calculation:
Formation enthalpy at 0 K = 0.24 eV/atom

a b c (Å): 10.1989 6.9193 4.1358
angles (deg): 90.00 95.52 90.00
Closest atoms and distances in Å follow each position.
Space group C2/m (No. 12)
Inequivalent atoms, fractional coordinates:
Al1 0.0000 0.0000 0.0000  2 C 1.94
V1 0.1190 0.5000 0.7540  1 C 2.01
V2 0.1278 0.2851 0.2450  1 C 2.08
V3 0.1842 0.0000 0.6701  2 C 2.04-2.10
C1 0.1830 0.0000 0.1766  1 Al 1.94, 5 V 2.01-2.10

---

No. 4
VASP calculation (PBE-GGA) on an optimized crystal structure of Ca3Al2H6SO8F8.

Values from the calculation:
E_tot = -652.204 eV for the cell shown

a b c (Å): 14.1331 8.6994 10.0707
angles (deg): 90.00 93.42 90.00
Closest atoms and distances in Å follow each position.
Space group C2/c (No. 15)
Inequivalent atoms, fractional coordinates:
Ca1 0.0000 0.0303 0.2500  4 F 2.29-2.31
Ca2 0.2467 0.2189 0.1928  5 F 2.34-2.43, 3 O 2.53-2.55
Al1 0.2014 0.1015 0.5131  4 F 1.79-1.88, 2 O 1.89-1.90
H1 0.0546 0.3679 0.1306  1 O 1.00
H2 0.0647 0.2418 0.0205  1 O 0.98
H3 0.1313 0.3625 0.5754  1 O 0.99
S1 0.0000 0.3452 0.7500  4 O 1.48-1.51
O1 0.0381 0.4425 0.6447  1 S 1.48
O2 0.0741 0.2591 0.1168  2 H 0.98-1.00
O3 0.0764 0.2428 0.8120  1 S 1.51
O4 0.1928 0.3104 0.5651  1 H 0.99
F1 0.0908 0.0477 0.5787  1 Al 1.79
F2 0.1392 0.1203 0.3483  1 Al 1.84
F3 0.2338 0.0985 0.9758  1 Al 1.84
F4 0.2360 0.4415 0.3213  1 Al 1.88

---

No. 5
VASP calculation (PBE-GGA) on an optimized crystal structure of CdSbMo2.

Values from the calculation:
Formation energy from raw total energies = 0.9090 eV/atom
Excess energy over the best structure of this formula in the dataset = 677 meV/atom

a b c (Å): 7.5849 7.5849 5.6162
angles (deg): 90.00 90.00 90.00
Closest atoms and distances in Å follow each position.
Space group I-42d (No. 122)
Inequivalent atoms, fractional coordinates:
Cd1 0.0000 0.0000 0.0000  2 Sb 2.81, 4 Mo 2.90
Sb1 0.0000 0.0000 0.5000  4 Mo 2.65, 2 Cd 2.81
Mo1 0.2266 0.2500 0.6250  2 Sb 2.65, 2 Mo 2.83, 2 Cd 2.90

---

No. 6
VASP calculation (PBE-GGA) on an optimized crystal structure of MnHgTe2Ir.

Values from the calculation:
Formation energy from raw total energies = 0.4562 eV/atom

a b c (Å): 5.2654 5.2654 5.0099
angles (deg): 90.00 90.00 90.00
Closest atoms and distances in Å follow each position.
Space group P4/mmm (No. 123)
Inequivalent atoms, fractional coordinates:
Mn1 0.0000 0.0000 0.0000  2 Ir 2.50
Hg1 0.5000 0.5000 0.0000  8 Te 3.63, 4 Mn 3.72
Te1 0.0000 0.5000 0.5000  2 Ir 2.63
Ir1 0.0000 0.0000 0.5000  2 Mn 2.50, 4 Te 2.63

---

Number 1: calculated density 8.5 g/cm3, total magnetization 0.0 μB per formula unit, DOS at the Fermi energy 1.234 states/eV/atom. Number 2: calculated density 5.6 g/cm3, total magnetization 0.0 μB per formula unit, DOS at the Fermi energy 1.898 states/eV/atom. Number 3: calculated density 5.2 g/cm3, total magnetization 0.0 μB per formula unit, DOS at the Fermi energy 0.670 states/eV/atom. Number 4: calculated density 2.6 g/cm3, total magnetization 0.1 μB per formula unit, DOS at the Fermi energy 0.000 states/eV/atom. Number 5: calculated density 8.8 g/cm3, total magnetization 0.0 μB per formula unit, DOS at the Fermi energy 1.400 states/eV/atom. Number 6: calculated density 8.4 g/cm3, total magnetization 4.8 μB per formula unit, DOS at the Fermi energy 0.893 states/eV/atom.